Compound: Na3Li4Mn5O9
Source: Alexandria via LeMat-Bulk
Functional: GGA+U
Structure: optimized geometry Values from VASP.

Output
E_tot = -126.5 eV/f.u.
Theoretical density = 3.2 g/cm³
SG = P1

Quantum ESPRESSO input file:
```
&SYSTEM
  ibrav = 0, nat = 21, ntyp = 4
/
ATOMIC_SPECIES
Na 22.99 Na.upf
Li 6.94 Li.upf
Mn 54.94 Mn.upf
O 16.00 O.upf
CELL_PARAMETERS angstrom
5.873 0.000 0.000
-2.916 5.198 0.000
-0.805 -1.766 8.756
ATOMIC_POSITIONS crystal
Na 0.000 0.000 0.000
Na 0.296 0.606 0.998
Na 0.689 0.316 0.003
Li 0.117 0.170 0.584
Li 0.471 0.130 0.467
Li 0.553 0.822 0.555
Li 0.894 0.496 0.565
Mn 0.060 0.721 0.286
Mn 0.272 0.904 0.757
Mn 0.409 0.414 0.286
Mn 0.593 0.558 0.758
Mn 0.751 0.058 0.271
O 0.047 0.370 0.182
O 0.188 0.830 0.523
O 0.313 0.251 0.825
O 0.378 0.044 0.220
O 0.500 0.464 0.524
O 0.575 0.874 0.836
O 0.708 0.690 0.185
O 0.798 0.139 0.500
O 0.955 0.632 0.822
```